(1)
Entry from Alexandria via LeMat-Bulk: Si3Hg after structural relaxation (GGA-PBE).

Values from the calculation:
Formation energy without anion corrections (eV per atom): 0.70
Magnetic moment (μB/f.u.): 0.0
Excess energy over the best structure of this formula in the dataset (eV/atom): 0.3009

a b c (Å): 5.7794 5.7794 5.7794
angles (deg): 141.64 141.64 55.37
Last column: nearest neighbours and their distance in Å.
Fractional positions:
Hg (0.0000, 0.0000, 0.0000)  4 Si 2.69
Si (0.2500, 0.7500, 0.5000)  4 Si 2.69
Si (0.5000, 0.5000, 0.0000)  4 Hg 2.69
Si (0.7500, 0.2500, 0.5000)  4 Si 2.69

---

(2)
Entry from Alexandria via LeMat-Bulk: Fe4Au5 after structural relaxation (GGA-PBE).

Values from the calculation:
Magnetic moment (μB/f.u.): 11.4
Formation energy from the elements (eV/atom): 0.125

a b c (Å): 6.2357 6.2357 6.2357
angles (deg): 96.08 96.08 142.02
Last column: nearest neighbours and their distance in Å.
Fractional positions:
Fe (0.0000, 0.3580, 0.3580)  5 Fe 2.37-2.63
Fe (0.0000, 0.6420, 0.6420)  5 Fe 2.37-2.63
Fe (0.3580, 0.0000, 0.3580)  5 Fe 2.37-2.63
Fe (0.6420, 0.0000, 0.6420)  5 Fe 2.37-2.63
Au (0.0000, 0.0000, 0.0000)  8 Au 2.86, 4 Fe 2.99
Au (0.3288, 0.3288, 0.6576)  6 Au 2.75-2.86, 6 Fe 2.75-2.93
Au (0.3288, 0.6712, 0.0000)  6 Au 2.75-2.86, 6 Fe 2.75-2.93
Au (0.6712, 0.3288, 0.0000)  6 Au 2.75-2.86, 6 Fe 2.75-2.93
Au (0.6712, 0.6712, 0.3424)  6 Au 2.75-2.86, 6 Fe 2.75-2.93

---

(3)
Entry from Alexandria via LeMat-Bulk: ZrPaAl2 after structural relaxation (GGA-PBE).

Values from the calculation:
Magnetic moment (μB/f.u.): 1.6
Excess energy over the best structure of this formula in the dataset (eV/atom): 0.1921
Formation energy from the elements (eV/atom): -0.105

a b c (Å): 4.9431 4.9431 4.9443
angles (deg): 60.01 60.01 60.00
Last column: nearest neighbours and their distance in Å.
Fractional positions:
Pa (0.0000, 0.0000, 0.0000)  8 Al 3.03
Al (0.7501, 0.7501, 0.7497)  4 Zr 3.03, 4 Pa 3.03
Al (0.2499, 0.2499, 0.2503)  4 Zr 3.03, 4 Pa 3.03
Zr (0.5000, 0.5000, 0.5000)  8 Al 3.03

---

(4)
Entry from Alexandria via LeMat-Bulk: ZrGe2H after structural relaxation (GGA-PBE).

Values from the calculation:
Magnetic moment (μB/f.u.): 0.0
Excess energy over the best structure of this formula in the dataset (eV/atom): 0.0000

a b c (Å): 5.0287 5.0287 6.3425
angles (deg): 66.64 66.64 90.00
Last column: nearest neighbours and their distance in Å.
Fractional positions:
H (0.5000, 0.5000, 0.0000)  4 Ge 1.82
H (0.2500, 0.7500, 0.5000)  4 Ge 1.82
Ge (0.3917, 0.1250, 0.2500)  2 H 1.82
Ge (0.3583, 0.6250, 0.2500)  2 H 1.82
Ge (0.3750, 0.6083, 0.7500)  2 H 1.82
Ge (0.8750, 0.6417, 0.7500)  2 H 1.82
Zr (0.0000, 0.0000, 0.0000)  8 Ge 3.03-3.17
Zr (0.7500, 0.2500, 0.5000)  8 Ge 3.03-3.17

---

(5)
Entry from Alexandria via LeMat-Bulk: YZn2Ge after structural relaxation (GGA-PBE).

Values from the calculation:
Magnetic moment (μB/f.u.): 0.0
Formation energy from the elements (eV/atom): -0.420

a b c (Å): 4.4384 4.1410 4.1410
angles (deg): 90.00 90.00 90.00
Last column: nearest neighbours and their distance in Å.
Fractional positions:
Y (0.5000, 0.5000, 0.5000)  4 Ge 2.93, 8 Zn 3.04
Ge (0.5000, 0.0000, 0.0000)  4 Y 2.93, 8 Zn 3.04
Zn (0.0000, 0.0000, 0.5000)  4 Zn 2.93, 4 Ge 3.04, 4 Y 3.04
Zn (0.0000, 0.5000, 0.0000)  4 Zn 2.93, 4 Ge 3.04, 4 Y 3.04

---

(6)
Entry from Alexandria via LeMat-Bulk: AcDy2RhN4 after structural relaxation (GGA-PBE).

Values from the calculation:
Formation energy without anion corrections (eV per atom): -0.94
Magnetic moment (μB/f.u.): 0.0

a b c (Å): 3.5701 6.1925 11.6975
angles (deg): 90.00 90.00 106.75
Last column: nearest neighbours and their distance in Å.
Fractional positions:
Ac (0.1131, 0.2262, 0.7500)  6 N 2.73-2.83
Ac (0.8869, 0.7738, 0.2500)  6 N 2.73-2.83
Dy (0.3690, 0.7380, 0.5456)  6 N 2.29-2.56
Dy (0.6310, 0.2620, 0.0456)  6 N 2.29-2.56
Dy (0.6310, 0.2620, 0.4544)  6 N 2.29-2.56
Dy (0.3690, 0.7380, 0.9544)  6 N 2.29-2.56
Rh (0.8498, 0.6997, 0.7500)  4 N 2.01-2.05
Rh (0.1502, 0.3003, 0.2500)  4 N 2.01-2.05
N (0.2672, 0.5345, 0.1210)  1 Rh 2.05, 1 Dy 2.29
N (0.7328, 0.4655, 0.6210)  1 Rh 2.05, 1 Dy 2.29
N (0.7328, 0.4655, 0.8790)  1 Rh 2.05, 1 Dy 2.29
N (0.2672, 0.5345, 0.3790)  1 Rh 2.05, 1 Dy 2.29
N (0.0000, 0.0000, 0.5000)  4 Dy 2.43
N (0.0000, 0.0000, 0.0000)  4 Dy 2.43
N (0.4281, 0.8562, 0.7500)  2 Rh 2.01
N (0.5719, 0.1438, 0.2500)  2 Rh 2.01

---

(7)
Entry from Alexandria via LeMat-Bulk: BaMnAl2Zn after structural relaxation (GGA-PBE).

Values from the calculation:
Magnetic moment (μB/f.u.): 0.7
Formation energy from the elements (eV/atom): -0.058

a b c (Å): 4.7654 4.7654 4.9532
angles (deg): 90.00 90.00 90.00
Last column: nearest neighbours and their distance in Å.
Fractional positions:
Zn (0.0000, 0.0000, 0.5000)  2 Mn 2.48
Mn (0.0000, 0.0000, 0.0000)  4 Al 2.38, 2 Zn 2.48
Ba (0.5000, 0.5000, 0.5000)  4 Zn 3.37, 8 Al 3.44
Al (0.0000, 0.5000, 0.0000)  2 Mn 2.38
Al (0.5000, 0.0000, 0.0000)  2 Mn 2.38

---

(8)
Entry from Alexandria via LeMat-Bulk: Cs2AcCeO4 after structural relaxation (GGA-PBE).

Values from the calculation:
Formation energy without anion corrections (eV per atom): -2.50
Magnetic moment (μB/f.u.): 0.8

a b c (Å): 3.8052 6.6122 7.3279
angles (deg): 107.60 90.00 90.00
Last column: nearest neighbours and their distance in Å.
Fractional positions:
Cs (0.5000, 0.0000, 0.5000)  6 O 3.16-3.17
Cs (0.0000, 0.5000, 0.5000)  6 O 3.24-3.30
Ac (0.5000, 0.5000, 0.0000)  6 O 2.54-2.57
Ce (0.0000, 0.0000, 0.0000)  6 O 2.38-2.44
O (0.5000, 0.2079, 0.1645)  2 Ce 2.44, 1 Ac 2.57
O (0.5000, 0.7921, 0.8355)  2 Ce 2.44, 1 Ac 2.57
O (0.0000, 0.2603, 0.8352)  1 Ce 2.38, 2 Ac 2.54
O (0.0000, 0.7397, 0.1648)  1 Ce 2.38, 2 Ac 2.54

---

(9)
Entry from Alexandria via LeMat-Bulk: TaCrIr2 after structural relaxation (GGA-PBE).

Values from the calculation:
Magnetic moment (μB/f.u.): 0.2
Excess energy over the best structure of this formula in the dataset (eV/atom): 0.4284
Formation energy from the elements (eV/atom): -0.009

a b c (Å): 4.3883 4.3883 4.3883
angles (deg): 60.00 60.00 60.00
Last column: nearest neighbours and their distance in Å.
Fractional positions:
Cr (0.5000, 0.5000, 0.5000)  4 Ta 2.69, 4 Ir 2.69
Ir (0.0000, 0.0000, 0.0000)  4 Ir 2.69, 4 Ta 2.69
Ir (0.2500, 0.2500, 0.2500)  4 Cr 2.69, 4 Ir 2.69
Ta (0.7500, 0.7500, 0.7500)  4 Cr 2.69, 4 Ir 2.69

---

(10)
Entry from Alexandria via LeMat-Bulk: NaSnIBr2 after structural relaxation (GGA-PBE).

Values from the calculation:
Formation energy without anion corrections (eV per atom): -0.93
Magnetic moment (μB/f.u.): 0.0

a b c (Å): 5.4565 7.5222 9.9430
angles (deg): 89.36 90.00 90.00
Last column: nearest neighbours and their distance in Å.
Fractional positions:
Na (0.2500, 0.5749, 0.8460)  4 Br 2.94-3.05, 1 I 3.15
Na (0.7500, 0.4251, 0.1540)  4 Br 2.94-3.05, 1 I 3.15
Sn (0.2500, 0.7592, 0.4048)  4 Br 2.99-3.09, 1 I 3.18
Sn (0.7500, 0.2408, 0.5952)  4 Br 2.99-3.09, 1 I 3.18
I (0.2500, 0.9432, 0.6911)  1 Na 3.15, 1 Sn 3.18
I (0.7500, 0.0568, 0.3089)  1 Na 3.15, 1 Sn 3.18
Br (0.7500, 0.5919, 0.4316)  3 Sn 3.02-3.09, 1 Na 3.05, 2 Br 3.34
Br (0.2500, 0.4081, 0.5684)  3 Sn 3.02-3.09, 1 Na 3.05, 2 Br 3.34
Br (0.7500, 0.4296, 0.8582)  3 Na 2.94, 1 Sn 2.99
Br (0.2500, 0.5704, 0.1418)  3 Na 2.94, 1 Sn 2.99

---

(11)
Entry from Alexandria via LeMat-Bulk: La5Nd12Tm2 after structural relaxation (GGA-PBE).

Values from the calculation:
Magnetic moment (μB/f.u.): 0.0
Excess energy over the best structure of this formula in the dataset (eV/atom): 0.0684
Formation energy from the elements (eV/atom): 0.179

a b c (Å): 9.3634 10.2961 8.9745
angles (deg): 65.45 90.00 117.05
Last column: nearest neighbours and their distance in Å.
Fractional positions:
La (0.2383, 0.4766, 0.7068)  5 Nd 3.17-3.55
La (0.2919, 0.5839, 0.2209)  2 Tm 3.75, 9 Nd 3.76-4.02, 1 La 4.00
La (0.0000, 0.0000, 0.5000)  6 Nd 3.31-3.62
La (0.7081, 0.4161, 0.7791)  2 Tm 3.75, 9 Nd 3.76-4.02, 1 La 4.00
La (0.7617, 0.5234, 0.2932)  5 Nd 3.17-3.55
Nd (0.9529, 0.9058, 0.1864)  1 Nd 2.96, 2 La 3.17-3.31
Nd (0.0406, 0.7076, 0.9048)  4 Nd 3.38-3.69, 1 Tm 3.43, 2 La 3.55-3.78
Nd (0.6670, 0.7076, 0.9048)  4 Nd 3.38-3.69, 1 Tm 3.43, 2 La 3.55-3.78
Nd (0.1470, 0.7436, 0.4600)  1 La 3.20, 1 Nd 3.39
Nd (0.5966, 0.7436, 0.4600)  1 La 3.20, 1 Nd 3.39
Nd (0.4415, 0.8830, 0.7206)  7 Nd 3.38-3.78, 2 Tm 3.55, 1 La 3.79
Nd (0.5585, 0.1170, 0.2794)  7 Nd 3.38-3.78, 2 Tm 3.55, 1 La 3.79
Nd (0.8530, 0.2564, 0.5400)  1 La 3.20, 1 Nd 3.39
Nd (0.4034, 0.2564, 0.5400)  1 La 3.20, 1 Nd 3.39
Nd (0.9594, 0.2924, 0.0952)  4 Nd 3.38-3.69, 1 Tm 3.43, 2 La 3.55-3.78
Nd (0.3330, 0.2924, 0.0952)  4 Nd 3.38-3.69, 1 Tm 3.43, 2 La 3.55-3.78
Nd (0.0471, 0.0942, 0.8136)  1 Nd 2.96, 2 La 3.17-3.31
Tm (0.6733, 0.0000, 0.0000)  1 Tm 3.25, 6 Nd 3.40-3.55
Tm (0.3267, 0.0000, 0.0000)  1 Tm 3.25, 6 Nd 3.40-3.55

---

(12)
Entry from Alexandria via LeMat-Bulk: Dy3Ag2 after structural relaxation (GGA-PBE).

Values from the calculation:
Magnetic moment (μB/f.u.): 0.0
Excess energy over the best structure of this formula in the dataset (eV/atom): 0.1510
Formation energy from the elements (eV/atom): -0.096

a b c (Å): 5.0695 8.0242 10.6970
angles (deg): 90.05 90.00 108.41
Last column: nearest neighbours and their distance in Å.
Fractional positions:
Dy (0.8309, 0.6618, 0.0040)  5 Ag 3.06-3.14
Dy (0.1691, 0.3382, 0.9960)  5 Ag 3.06-3.14
Dy (0.8366, 0.6731, 0.3322)  5 Ag 3.07-3.14
Dy (0.1634, 0.3269, 0.6678)  5 Ag 3.07-3.14
Dy (0.1676, 0.3353, 0.3320)  6 Ag 3.09-3.10
Dy (0.8324, 0.6647, 0.6680)  6 Ag 3.09-3.10
Dy (0.4978, 0.9956, 0.3358)  5 Ag 3.07-3.14
Dy (0.5022, 0.0044, 0.6642)  5 Ag 3.07-3.14
Dy (0.5000, 0.0000, 0.0000)  6 Ag 3.10
Ag (0.6670, 0.3340, 0.4985)  8 Dy 3.07-3.14
Ag (0.3330, 0.6660, 0.5015)  8 Dy 3.07-3.14
Ag (0.6663, 0.3326, 0.1673)  8 Dy 3.06-3.14
Ag (0.3337, 0.6674, 0.8327)  8 Dy 3.06-3.14
Ag (0.0009, 0.0018, 0.1661)  8 Dy 3.07-3.14
Ag (0.9991, 0.9982, 0.8339)  8 Dy 3.07-3.14